(1)
This record from the Alexandria database describes a relaxed structure of ZrFeRe2. The functional is PBE.

Values from the calculation:
Its density of states at the Fermi level is 11.194 states/eV/cell. The uncorrected energy is -10.231 eV per atom. The polymorph energy (0 for the lowest one) comes out at 265 meV/atom. The volume comes out at 16.009 Å³ per atom. As for the formation energy from the elements: 0.2461 eV/atom. The calculation puts the total magnetic moment at 8.02 μB per cell.

Cell and atoms, written as CIF:
```
data_ZrFeRe2
_symmetry_space_group_name_H-M 'R 3 m'
_symmetry_Int_Tables_number 160
_symmetry_space_group_name_Hall 'R 3 -2"'
_cell_length_a 2.8241
_cell_length_b 2.8241
_cell_length_c 27.8117
_cell_angle_alpha 90.00
_cell_angle_beta 90.00
_cell_angle_gamma 120.00
loop_
_atom_site_label
_atom_site_type_symbol
_atom_site_fract_x
_atom_site_fract_y
_atom_site_fract_z
_atom_site_occupancy
Zr1 Zr 0.0000 0.0000 0.0000 1
Fe1 Fe 0.0000 0.0000 0.7535 1
Re1 Re 0.0000 0.0000 0.2398 1
Re2 Re 0.0000 0.0000 0.4968 1
```

(2)
This record from the Alexandria database describes a relaxed structure of ZrFeRe2. The functional is PBE.

Values from the calculation:
Its density of states at the Fermi level is 2.924 states/eV/cell. The uncorrected energy is -10.373 eV per atom. The polymorph energy (0 for the lowest one) comes out at 123 meV/atom. The volume comes out at 15.756 Å³ per atom. As for the formation energy from the elements: 0.1043 eV/atom. The calculation puts the total magnetic moment at 2.57 μB per cell.

Cell and atoms, written as CIF:
```
data_ZrFeRe2
_symmetry_space_group_name_H-M 'P 1 2/m 1'
_symmetry_Int_Tables_number 10
_symmetry_space_group_name_Hall '-P 2y'
_cell_length_a 2.734
_cell_length_b 4.537
_cell_length_c 5.135
_cell_angle_alpha 90.00
_cell_angle_beta 98.39
_cell_angle_gamma 90.00
loop_
_atom_site_label
_atom_site_type_symbol
_atom_site_fract_x
_atom_site_fract_y
_atom_site_fract_z
_atom_site_occupancy
Zr1 Zr 0.000 0.000 0.000 1
Fe1 Fe 0.500 0.000 0.500 1
Re1 Re 0.263 0.500 0.741 1
```

(3)
This record from the Alexandria database describes a relaxed structure of ZrFeRe2. The functional is PBE.

Values from the calculation:
Its density of states at the Fermi level is 8.573 states/eV/cell. The uncorrected energy is -10.157 eV per atom. The polymorph energy (0 for the lowest one) comes out at 339 meV/atom. The volume comes out at 16.009 Å³ per atom. As for the formation energy from the elements: 0.3198 eV/atom. The calculation puts the total magnetic moment at 4.10 μB per cell.

Cell and atoms, written as CIF:
```
data_ZrFeRe2
_symmetry_space_group_name_H-M 'C m m m'
_symmetry_Int_Tables_number 65
_symmetry_space_group_name_Hall '-C 2 2'
_cell_length_a 5.298
_cell_length_b 8.346
_cell_length_c 2.896
_cell_angle_alpha 90.00
_cell_angle_beta 90.00
_cell_angle_gamma 90.00
loop_
_atom_site_label
_atom_site_type_symbol
_atom_site_fract_x
_atom_site_fract_y
_atom_site_fract_z
_atom_site_occupancy
Zr1 Zr 0.000 0.000 0.000 1
Fe1 Fe 0.000 0.500 0.000 1
Re1 Re 0.250 0.250 0.500 1
```

(4)
This record from the Alexandria database describes a relaxed structure of ZrFeRe2. The functional is PBE.

Values from the calculation:
Its density of states at the Fermi level is 2.849 states/eV/cell. The uncorrected energy is -10.488 eV per atom. The polymorph energy (0 for the lowest one) comes out at 8 meV/atom. The volume comes out at 15.935 Å³ per atom. As for the formation energy from the elements: -0.0110 eV/atom. The calculation puts the total magnetic moment at 2.17 μB per cell.

Cell and atoms, written as CIF:
```
data_ZrFeRe2
_symmetry_space_group_name_H-M 'P 4 m m'
_symmetry_Int_Tables_number 99
_symmetry_space_group_name_Hall 'P 4 -2'
_cell_length_a 3.114
_cell_length_b 3.114
_cell_length_c 6.571
_cell_angle_alpha 90.00
_cell_angle_beta 90.00
_cell_angle_gamma 90.00
loop_
_atom_site_label
_atom_site_type_symbol
_atom_site_fract_x
_atom_site_fract_y
_atom_site_fract_z
_atom_site_occupancy
Zr1 Zr 0.000 0.000 0.000 1
Fe1 Fe 0.500 0.500 0.265 1
Re1 Re 0.000 0.000 0.485 1
Re2 Re 0.500 0.500 0.710 1
```

(5)
This record from the Alexandria database describes a relaxed structure of ZrFe5Re. The functional is PBE.

Values from the calculation:
Its density of states at the Fermi level is 27.429 states/eV/cell. The uncorrected energy is -9.154 eV per atom. The volume comes out at 12.953 Å³ per atom. As for the formation energy from the elements: -0.1099 eV/atom. The calculation puts the total magnetic moment at 4.54 μB per cell.

Cell and atoms, written as CIF:
```
data_ZrFe5Re
_symmetry_space_group_name_H-M 'P n m a'
_symmetry_Int_Tables_number 62
_symmetry_space_group_name_Hall '-P 2ac 2n'
_cell_length_a 7.820
_cell_length_b 4.680
_cell_length_c 9.910
_cell_angle_alpha 90.00
_cell_angle_beta 90.00
_cell_angle_gamma 90.00
loop_
_atom_site_label
_atom_site_type_symbol
_atom_site_fract_x
_atom_site_fract_y
_atom_site_fract_z
_atom_site_occupancy
Zr1 Zr 0.246 0.250 0.060 1
Fe1 Fe 0.055 0.750 0.085 1
Fe2 Fe 0.070 0.005 0.307 1
Fe3 Fe 0.087 0.250 0.521 1
Fe4 Fe 0.187 0.250 0.751 1
Re1 Re 0.136 0.750 0.851 1
```

(6)
This record from the Alexandria database describes a relaxed structure of ZrFe2Re2. The functional is PBE.

Values from the calculation:
Its density of states at the Fermi level is 6.270 states/eV/cell. The uncorrected energy is -10.036 eV per atom. The polymorph energy (0 for the lowest one) comes out at 0 meV/atom. The volume comes out at 14.447 Å³ per atom. As for the formation energy from the elements: 0.0380 eV/atom. The calculation puts the total magnetic moment at 0.00 μB per cell.

Cell and atoms, written as CIF:
```
data_ZrFe2Re2
_symmetry_space_group_name_H-M 'P 4/m b m'
_symmetry_Int_Tables_number 127
_symmetry_space_group_name_Hall '-P 4 2ab'
_cell_length_a 7.308
_cell_length_b 7.308
_cell_length_c 2.705
_cell_angle_alpha 90.00
_cell_angle_beta 90.00
_cell_angle_gamma 90.00
loop_
_atom_site_label
_atom_site_type_symbol
_atom_site_fract_x
_atom_site_fract_y
_atom_site_fract_z
_atom_site_occupancy
Zr1 Zr 0.000 0.000 0.000 1
Fe1 Fe 0.124 0.376 0.000 1
Re1 Re 0.169 0.669 0.500 1
```

Number 1 is which compound? ZrFeRe2